Record 1
Here is crystalline Ba6Na3P at its relaxed geometry from Alexandria via LeMat-Bulk. Energies are from PBE.

Unit cell a=8.3054 b=10.1848 c=12.7264 alpha=90.00 beta=94.33 gamma=90.00
With the nearest neighbours (Å) after each atom.
Atoms (fractional coordinates):
Ba: 0.3267 0.8469 0.9550  1 P 3.22
Ba: 0.3821 0.7884 0.5549  1 P 3.19
Ba: 0.3468 0.5392 0.2677  1 P 3.15
Ba: 0.6532 0.4608 0.7323  1 P 3.15
Ba: 0.6179 0.2116 0.4451  1 P 3.19
Ba: 0.6733 0.1531 0.0450  1 P 3.22
Ba: 0.8267 0.6531 0.4550  1 P 3.22
Ba: 0.8821 0.7116 0.0549  1 P 3.19
Ba: 0.8468 0.9608 0.7677  1 P 3.15
Ba: 0.1532 0.0392 0.2323  1 P 3.15
Ba: 0.1179 0.2884 0.9451  1 P 3.19
Ba: 0.1733 0.3469 0.5450  1 P 3.22
Na: 0.4034 0.1117 0.7411  6 Ba 3.86-4.12
Na: 0.5000 0.5000 0.0000  6 Ba 3.75-3.86
Na: 0.5966 0.8883 0.2589  6 Ba 3.86-4.12
Na: 0.9034 0.3883 0.2411  6 Ba 3.86-4.12
Na: 0.0000 0.0000 0.5000  6 Ba 3.75-3.86
Na: 0.0966 0.6117 0.7589  6 Ba 3.86-4.12
P: 0.5000 0.5000 0.5000  6 Ba 3.15-3.22
P: 0.0000 0.0000 0.0000  6 Ba 3.15-3.22

- ΔH_f (0 K): -0.18 eV/atom
- VASP energy: -2.2753 eV/atom
- Density of states at the Fermi level: 19.6 states/eV per cell

***

Record 2
Here is crystalline PmPaCoGe at its relaxed geometry from Alexandria via LeMat-Bulk. Energies are from PBE.

Unit cell a=4.9529 b=4.9529 c=4.9529 alpha=60.00 beta=60.00 gamma=60.00
With the nearest neighbours (Å) after each atom.
Atoms (fractional coordinates):
Ge: 0.5000 0.5000 0.5000  4 Pa 3.03, 4 Pm 3.03
Pa: 0.7500 0.7500 0.7500  4 Ge 3.03, 4 Co 3.03
Co: 0.0000 0.0000 0.0000  4 Pa 3.03, 4 Pm 3.03
Pm: 0.2500 0.2500 0.2500  4 Ge 3.03, 4 Co 3.03

- ΔH_f (0 K): -0.10 eV/atom
- VASP energy: -6.5891 eV/atom
- Density of states at the Fermi level: 5.8 states/eV per cell

***

Record 3
Here is crystalline Na2NdPb at its relaxed geometry from Alexandria via LeMat-Bulk. Energies are from PBE.

Unit cell a=3.4802 b=3.4802 c=12.8214 alpha=82.20 beta=82.20 gamma=60.00
With the nearest neighbours (Å) after each atom.
Atoms (fractional coordinates):
Pb: 0.5000 0.5000 0.5000  6 Pb 3.48, 6 Na 3.48
Na: 0.0918 0.0918 0.7247  6 Na 3.48, 3 Pb 3.48, 1 Nd 3.49
Na: 0.9082 0.9082 0.2753  6 Na 3.48, 3 Pb 3.48, 1 Nd 3.49
Nd: 0.0000 0.0000 0.0000  6 Nd 3.48, 2 Na 3.49

- ΔH_f (0 K): 0.12 eV/atom
- VASP energy: -2.6583 eV/atom
- Density of states at the Fermi level: 4.4 states/eV per cell

***

Record 4
Here is crystalline YHo5Th2 at its relaxed geometry from Alexandria via LeMat-Bulk. Energies are from PBE.

Unit cell a=3.5183 b=8.7937 c=8.7937 alpha=78.44 beta=78.46 gamma=78.46
With the nearest neighbours (Å) after each atom.
Atoms (fractional coordinates):
Y: 0.0000 0.0000 0.0000  2 Y 3.52, 4 Th 3.65, 8 Ho 3.85
Ho: 0.0000 0.5000 0.5000  2 Th 3.38, 10 Ho 3.52-3.58
Ho: 0.6306 0.6030 0.1358  3 Th 3.31-3.55, 7 Ho 3.44-3.62
Ho: 0.3694 0.3970 0.8642  3 Th 3.31-3.55, 7 Ho 3.44-3.62
Ho: 0.3694 0.8642 0.3970  3 Th 3.31-3.55, 7 Ho 3.44-3.62
Ho: 0.6306 0.1358 0.6030  3 Th 3.31-3.55, 7 Ho 3.44-3.62
Th: 0.7431 0.7569 0.7569  7 Ho 3.31-3.55, 2 Th 3.52, 2 Y 3.65
Th: 0.2569 0.2431 0.2431  7 Ho 3.31-3.55, 2 Th 3.52, 2 Y 3.65

- ΔH_f (0 K): 0.09 eV/atom
- VASP energy: -5.4297 eV/atom
- Density of states at the Fermi level: 13.8 states/eV per cell

***

- Look up the ΔH_f (0 K) of the third one.
  0.12 eV/atom

***

- Which value of ΔH_f (0 K) does entry 1 give?
  -0.18 eV/atom

***

- Look up the ΔH_f (0 K) of the third one.
  0.12 eV/atom